Below is an optimized crystal structure of Tm2PuPaP4, with properties calculated at the PBE level.

Results
Formation energy from the elements (eV per formula unit): -11.4
E (eV per cell): -65.86
D(E_F) (states/eV/f.u.): 10.4

Lattice parameters (Å, degrees): 6.8441 3.9742 6.8649 90.00 109.61 90.00
Space group P2/m (No. 10)
One atom of each set of equivalent atoms:
Tm  0.0000  0.0000  0.0000 x1
Tm  0.0000  0.5000  0.5000 x1
Pu  0.5000  0.0000  0.5000 x1
Pa  0.5000  0.5000  0.0000 x1
P  0.2491  0.0000  0.7520 x2
P  0.2503  0.5000  0.2480 x2

=====

Below is an optimized crystal structure of Tm2Pu3PaP6, with properties calculated at the PBE level.

Results
Formation energy from the elements (eV per formula unit): -16.2
E (eV per cell): -220.10
D(E_F) (states/eV/f.u.): 27.4

Lattice parameters (Å, degrees): 6.9001 11.9521 6.8668 90.00 109.57 90.00
Space group C2/m (No. 12)
One atom of each set of equivalent atoms:
Tm  0.0000  0.1665  0.0000 x4
Pu  0.0000  0.0000  0.5000 x2
Pu  0.0000  0.3322  0.5000 x4
Pa  0.0000  0.5000  0.0000 x2
P  0.2482  0.3344  0.2481 x8
P  0.2483  0.5000  0.7520 x4